1.
Compound: SrEr2In2Hg2
Source: the Alexandria database
Functional: PBE
Structure: optimized geometry

total moment	0.000	μB/atom
uncorrected energy	-2.75	eV per atom
volume	204.88	Å³/cell

Structure (POSCAR):
```
SrEr2In2Hg2
1.0
-0.561 4.484 2.149
-4.459 2.270 -0.075
-3.945 -1.941 8.847
Sr Er In Hg
1 2 2 2
Direct
0.000 0.000 0.000
0.134 0.134 0.597
0.866 0.866 0.403
0.744 0.744 0.769
0.256 0.256 0.231
0.562 0.562 0.315
0.438 0.438 0.685
```

2.
Compound: SmNi2C2
Source: the Alexandria database
Functional: PBE
Structure: optimized geometry

total moment	0.000	μB/atom
uncorrected energy	-7.04	eV per atom
volume	120.69	Å³/cell

Structure (POSCAR):
```
SmNi2C2
1.0
-3.436 0.055 -1.453
2.342 -4.291 -0.910
-2.564 -2.665 5.964
Sm Ni C
2 4 4
Direct
0.071 0.143 0.750
0.929 0.857 0.250
0.343 0.686 0.943
0.657 0.314 0.443
0.657 0.314 0.057
0.343 0.686 0.557
0.196 0.392 0.349
0.804 0.608 0.849
0.196 0.392 0.151
0.804 0.608 0.651
```

3.
Compound: Sn3Hg3I
Source: the Alexandria database
Functional: PBE
Structure: optimized geometry

total moment	0.000	μB/atom
uncorrected energy	-1.78	eV per atom
formation energy from raw total energies	0.283	eV per atom
volume	528.60	Å³/cell

Structure (POSCAR):
```
Sn3Hg3I
1.0
-6.015 -5.332 -0.875
4.747 -5.839 2.958
-2.583 1.687 7.474
I Hg Sn
2 6 6
Direct
0.500 0.500 0.500
0.000 0.000 0.000
0.250 0.000 0.500
0.000 0.500 0.250
0.500 0.750 0.000
0.750 0.000 0.500
0.000 0.500 0.750
0.500 0.250 0.000
0.000 0.250 0.500
0.000 0.750 0.500
0.500 0.000 0.750
0.750 0.500 0.000
0.500 0.000 0.250
0.250 0.500 0.000
```

4.
Compound: Zn3Ni2Rh
Source: the Alexandria database
Functional: PBE
Structure: optimized geometry

total moment	0.000	μB/atom
uncorrected energy	-4.10	eV per atom
volume	152.64	Å³/cell

Structure (POSCAR):
```
Zn3Ni2Rh
1.0
-0.065 -1.106 4.022
2.540 -6.065 0.537
5.329 2.295 0.717
Zn Ni Rh
6 4 2
Direct
0.835 0.329 0.741
0.500 0.000 0.258
0.165 0.671 0.259
0.835 0.329 0.259
0.165 0.671 0.741
0.500 0.000 0.742
0.000 0.000 0.000
0.000 0.000 0.500
0.333 0.333 0.500
0.667 0.667 0.500
0.335 0.330 0.000
0.665 0.670 0.000
```

5.
Compound: CaCr2Mo
Source: the Alexandria database
Functional: PBE
Structure: optimized geometry

total moment	0.014	μB/atom
uncorrected energy	-7.28	eV per atom
volume	68.26	Å³/cell

Structure (POSCAR):
```
CaCr2Mo
1.0
5.534 -0.036 0.039
2.611 4.880 -0.039
-3.398 -3.557 2.537
Cr Mo Ca
2 1 1
Direct
0.963 0.963 0.000
0.766 0.266 0.500
0.528 0.528 0.000
0.243 0.743 0.500
```

6.
Compound: YCd2B
Source: the Alexandria database
Functional: PBE
Structure: optimized geometry

total moment	0.000	μB/atom
uncorrected energy	-3.13	eV per atom
volume	185.68	Å³/cell

Structure (POSCAR):
```
YCd2B
1.0
-2.792 2.000 -3.420
-3.733 -2.728 1.453
-5.424 5.298 4.093
Y B Cd
2 2 4
Direct
0.000 0.000 0.000
0.750 0.250 0.500
0.500 0.500 0.000
0.250 0.750 0.500
0.476 0.125 0.250
0.274 0.625 0.250
0.375 0.524 0.750
0.875 0.726 0.750
```

7.
Compound: K6Na2AuF
Source: the Alexandria database
Functional: PBE
Structure: optimized geometry

total moment	0.000	μB/atom
uncorrected energy	-1.99	eV per atom
formation energy from raw total energies	-0.555	eV per atom
volume	462.75	Å³/cell

Structure (POSCAR):
```
K6Na2AuF
1.0
-3.722 -0.324 -7.859
-1.672 -8.471 1.082
-2.686 5.812 5.911
K Na Au F
6 2 1 1
Direct
0.767 0.767 0.999
0.768 0.769 0.537
0.233 0.234 0.001
0.768 0.232 0.000
0.232 0.232 0.462
0.232 0.769 0.000
0.751 0.250 0.500
0.249 0.751 0.500
0.500 0.500 0.000
0.000 0.000 0.000
```

8.
Compound: K3Ni2AgCl8
Source: the Alexandria database
Functional: PBE
Structure: optimized geometry

total moment	0.286	μB/atom
uncorrected energy	-3.41	eV per atom
formation energy from raw total energies	-1.088	eV per atom
volume	395.80	Å³/cell

Structure (POSCAR):
```
K3Ni2AgCl8
1.0
7.128 0.000 0.000
-3.564 6.173 0.000
0.000 0.000 8.996
K Ni Ag Cl
3 2 1 8
Direct
0.333 0.667 0.615
0.667 0.333 0.385
0.000 0.000 0.000
0.333 0.667 0.196
0.667 0.333 0.804
0.000 0.000 0.500
0.333 0.667 0.953
0.667 0.333 0.047
0.170 0.830 0.312
0.830 0.170 0.688
0.170 0.341 0.312
0.830 0.659 0.688
0.659 0.830 0.312
0.341 0.170 0.688
```

9.
Compound: MgIr2I
Source: the Alexandria database
Functional: PBE
Structure: optimized geometry

total moment	0.000	μB/atom
uncorrected energy	-4.64	eV per atom
formation energy from raw total energies	0.576	eV per atom
volume	158.01	Å³/cell

Structure (POSCAR):
```
MgIr2I
1.0
-2.972 2.422 1.315
-1.407 0.329 -3.787
-7.813 -6.298 0.186
I Mg Ir
2 2 4
Direct
0.000 0.000 0.000
0.750 0.250 0.500
0.500 0.500 0.000
0.250 0.750 0.500
0.569 0.125 0.250
0.181 0.625 0.250
0.375 0.431 0.750
0.875 0.819 0.750
```

10.
Compound: Tb6In3Rh
Source: the Alexandria database
Functional: PBE
Structure: optimized geometry

total moment	0.000	μB/atom
uncorrected energy	-4.77	eV per atom
volume	532.46	Å³/cell

Structure (POSCAR):
```
Tb6In3Rh
1.0
-1.742 -2.846 -4.106
8.706 -2.405 -2.026
-4.122 -7.832 7.178
Tb In Rh
12 6 2
Direct
0.250 0.456 0.084
0.750 0.544 0.916
0.250 0.129 0.158
0.750 0.871 0.842
0.250 0.687 0.667
0.750 0.313 0.333
0.250 0.220 0.498
0.750 0.780 0.502
0.250 0.850 0.327
0.750 0.150 0.673
0.250 0.099 0.857
0.750 0.901 0.143
0.250 0.514 0.379
0.750 0.486 0.621
0.250 0.401 0.782
0.750 0.599 0.218
0.250 0.776 0.976
0.750 0.224 0.024
0.250 0.959 0.594
0.750 0.041 0.406
```

11.
Compound: K2Na5Sn2
Source: the Alexandria database
Functional: PBE
Structure: optimized geometry

total moment	0.000	μB/atom
uncorrected energy	-1.97	eV per atom
volume	638.76	Å³/cell

Structure (POSCAR):
```
K2Na5Sn2
1.0
9.630 0.000 0.000
0.000 6.494 0.000
-4.815 -3.247 10.215
K Na Sn
4 10 4
Direct
0.218 0.541 0.170
0.782 0.370 0.830
0.452 0.041 0.170
0.548 0.870 0.830
0.184 0.636 0.864
0.816 0.772 0.136
0.180 0.136 0.864
0.820 0.272 0.136
0.173 0.112 0.325
0.827 0.787 0.675
0.652 0.612 0.325
0.348 0.287 0.675
0.141 0.687 0.500
0.859 0.187 0.500
0.000 0.950 0.000
0.500 0.450 0.000
0.475 0.482 0.500
0.525 0.982 0.500
```

12.
Compound: Eu2BiAs
Source: the Alexandria database
Functional: PBE
Structure: optimized geometry

total moment	3.420	μB/atom
uncorrected energy	-8.17	eV per atom
volume	116.46	Å³/cell

Structure (POSCAR):
```
Eu2BiAs
1.0
-0.515 -2.082 -3.005
3.421 0.797 -1.138
2.986 -6.810 4.206
Eu As Bi
2 1 1
Direct
0.000 0.000 0.792
0.000 0.000 0.208
0.500 0.500 0.000
0.500 0.500 0.500
```

13.
Compound: Te2Rh
Source: the Alexandria database
Functional: PBE
Structure: optimized geometry

total moment	0.000	μB/atom
uncorrected energy	-4.06	eV per atom
formation energy from raw total energies	0.487	eV per atom
volume	395.02	Å³/cell

Structure (POSCAR):
```
Te2Rh
1.0
-3.065 -4.156 3.522
0.360 -0.809 -6.188
9.854 -6.105 1.372
Te Rh
8 4
Direct
0.000 0.000 0.000
0.000 0.000 0.500
0.835 0.671 0.250
0.165 0.329 0.750
0.329 0.165 0.250
0.835 0.165 0.250
0.165 0.835 0.750
0.671 0.835 0.750
0.333 0.667 0.906
0.667 0.333 0.406
0.667 0.333 0.094
0.333 0.667 0.594
```

14.
Compound: Pr12Ho5Pb3
Source: the Alexandria database
Functional: PBE
Structure: optimized geometry

total moment	0.102	μB/atom
uncorrected energy	-3.93	eV per atom
volume	3224.06	Å³/cell

Structure (POSCAR):
```
Pr12Ho5Pb3
1.0
-12.039 0.824 -10.686
-4.807 -8.432 12.869
4.152 14.888 4.576
Pb Ho Pr
12 20 48
Direct
0.750 0.375 0.125
0.875 0.750 0.125
0.375 0.750 0.625
0.250 0.125 0.375
0.875 0.125 0.250
0.375 0.625 0.250
0.625 0.375 0.750
0.125 0.875 0.750
0.750 0.875 0.625
0.625 0.250 0.375
0.125 0.250 0.875
0.250 0.625 0.875
0.125 0.375 0.250
0.000 0.500 0.000
0.000 0.000 0.000
0.375 0.250 0.125
0.500 0.000 0.500
0.500 0.500 0.000
0.125 0.750 0.375
0.750 0.125 0.875
0.750 0.625 0.375
0.375 0.125 0.750
0.625 0.875 0.250
0.500 0.500 0.500
0.500 0.000 0.000
0.000 0.000 0.500
0.250 0.375 0.625
0.250 0.875 0.125
0.000 0.500 0.500
0.875 0.250 0.625
0.625 0.750 0.875
0.875 0.625 0.750
0.730 0.141 0.066
0.336 0.566 0.425
0.934 0.359 0.270
0.566 0.230 0.141
0.590 0.730 0.664
0.934 0.575 0.164
0.336 0.770 0.410
0.075 0.910 0.141
0.575 0.934 0.664
0.730 0.590 0.164
0.770 0.434 0.359
0.836 0.925 0.066
0.141 0.730 0.566
0.359 0.425 0.090
0.090 0.925 0.359
0.410 0.141 0.575
0.090 0.164 0.230
0.434 0.664 0.075
0.836 0.910 0.270
0.141 0.410 0.075
0.359 0.934 0.770
0.575 0.641 0.410
0.925 0.836 0.566
0.770 0.336 0.910
0.425 0.359 0.590
0.075 0.164 0.434
0.230 0.664 0.090
0.164 0.090 0.730
0.641 0.066 0.230
0.859 0.590 0.925
0.566 0.336 0.925
0.590 0.859 0.425
0.910 0.836 0.770
0.910 0.075 0.641
0.859 0.270 0.434
0.164 0.075 0.934
0.641 0.575 0.910
0.425 0.066 0.336
0.270 0.410 0.836
0.230 0.566 0.641
0.925 0.090 0.859
0.664 0.230 0.590
0.434 0.770 0.859
0.066 0.425 0.836
0.410 0.270 0.336
0.066 0.641 0.730
0.664 0.434 0.575
0.270 0.859 0.934
```

15.
Compound: TlCd2InAg
Source: the Alexandria database
Functional: PBE
Structure: optimized geometry

total moment	0.000	μB/atom
uncorrected energy	-1.77	eV per atom
volume	149.84	Å³/cell

Structure (POSCAR):
```
TlCd2InAg
1.0
-4.325 2.201 2.184
1.611 -1.607 4.811
2.634 4.544 0.636
Tl Cd Ag In
1 2 1 1
Direct
0.500 0.500 0.500
0.000 0.500 0.000
0.500 0.000 0.000
0.000 0.000 0.000
0.000 0.000 0.500
```

16.
Compound: LaPmSn2
Source: the Alexandria database
Functional: PBE
Structure: optimized geometry

total moment	0.000	μB/atom
uncorrected energy	-5.11	eV per atom
volume	116.53	Å³/cell

Structure (POSCAR):
```
LaPmSn2
1.0
4.562 0.000 0.000
0.000 5.054 0.000
0.000 0.000 5.054
La Sn Pm
1 2 1
Direct
0.500 0.000 0.000
0.000 0.000 0.500
0.000 0.500 0.000
0.500 0.500 0.500
```

17.
Compound: LiNd2Er3Se6
Source: the Alexandria database
Functional: PBE
Structure: optimized geometry

total moment	0.000	μB/atom
uncorrected energy	-5.59	eV per atom
formation energy from raw total energies	-1.756	eV per atom
volume	293.20	Å³/cell

Structure (POSCAR):
```
LiNd2Er3Se6
1.0
-0.138 -3.999 -0.802
7.133 -1.048 3.995
-6.135 0.930 6.796
Li Nd Er Se
1 2 3 6
Direct
0.500 0.000 0.000
0.830 0.658 0.660
0.170 0.342 0.340
0.500 0.500 0.000
0.832 0.170 0.665
0.168 0.830 0.335
0.335 0.929 0.671
0.661 0.594 0.321
0.665 0.071 0.329
0.997 0.247 0.994
0.003 0.753 0.006
0.339 0.406 0.679
```

18.
Compound: LiTlTc2N
Source: the Alexandria database
Functional: PBE
Structure: optimized geometry

total moment	0.048	μB/atom
uncorrected energy	-6.62	eV per atom
formation energy from raw total energies	0.044	eV per atom
volume	71.14	Å³/cell

Structure (POSCAR):
```
LiTlTc2N
1.0
-3.560 0.551 1.813
-1.263 -3.566 -1.397
1.532 -1.953 3.601
Tl Li Tc N
1 1 2 1
Direct
0.500 0.500 0.500
0.000 0.000 0.500
0.000 0.500 0.000
0.500 0.000 0.000
0.000 0.000 0.000
```

19.
Compound: Dy2SnPt9
Source: the Alexandria database
Functional: PBE
Structure: optimized geometry

total moment	0.000	μB/atom
uncorrected energy	-6.45	eV per atom
volume	206.60	Å³/cell

Structure (POSCAR):
```
Dy2SnPt9
1.0
-3.846 -0.009 -1.423
1.215 -2.155 -3.271
-2.220 -10.453 6.062
Dy Sn Pt
2 1 9
Direct
0.000 0.000 0.333
0.000 0.000 0.667
0.000 0.000 0.000
0.500 0.500 0.000
0.500 0.500 0.330
0.500 0.500 0.670
0.500 0.000 0.163
0.500 0.000 0.500
0.500 0.000 0.837
0.000 0.500 0.163
0.000 0.500 0.500
0.000 0.500 0.837
```